1.
DFT (GGA-PBE) results for an optimized crystal structure of Re3BRh.

Unit cell a=4.093 b=4.093 c=4.093 alpha=90.00 beta=90.00 gamma=90.00
Sites, in units of the cell vectors:
Re (0.000, 0.000, 0.500)
Re (0.500, 0.000, 0.000)
Re (0.000, 0.500, 0.000)
B (0.000, 0.000, 0.000)
Rh (0.500, 0.500, 0.500)

Summary:
- calculated formation energy (eV per formula unit) = 1.1
- total magnetic moment (μB/f.u.) = 0.0
- E above lowest polymorph (meV per atom) = 0
- volume (Å³/f.u.) = 68.55

2.
DFT (GGA-PBE) results for an optimized crystal structure of SrReB2Rh.

Unit cell a=4.191 b=5.581 c=4.191 alpha=90.00 beta=90.00 gamma=90.00
Site moments in Bohr magnetons follow the coordinates.
Sites, in units of the cell vectors:
Sr (0.000, 0.500, 0.000)  0.01
B (0.500, 0.000, 0.000)  0.00
B (0.000, 0.000, 0.500)  -0.06
Re (0.500, 0.500, 0.500)  3.01
Rh (0.000, 0.000, 0.000)  0.14

Summary:
- calculated formation energy (eV per formula unit) = 8.2
- total magnetic moment (μB/f.u.) = 3.5
- volume (Å³/f.u.) = 98.04

3.
DFT (GGA-PBE) results for an optimized crystal structure of ZrReBRh2.

Unit cell a=4.118 b=4.118 c=4.259 alpha=90.00 beta=90.00 gamma=90.00
Sites, in units of the cell vectors:
B (0.000, 0.000, 0.000)
Rh (0.500, 0.000, 0.000)
Rh (0.000, 0.500, 0.000)
Re (0.000, 0.000, 0.500)
Zr (0.500, 0.500, 0.500)

Summary:
- calculated formation energy (eV per formula unit) = -2.4
- total magnetic moment (μB/f.u.) = 0.0
- volume (Å³/f.u.) = 72.20

4.
DFT (GGA-PBE) results for an optimized crystal structure of ReB2Ru.

Unit cell a=5.575 b=5.575 c=4.884 alpha=55.20 beta=55.20 gamma=90.00
Sites, in units of the cell vectors:
Re (0.000, 0.000, 0.000)
Re (0.750, 0.250, 0.500)
Ru (0.250, 0.750, 0.500)
Ru (0.500, 0.500, 0.000)
B (0.375, 0.382, 0.750)
B (0.132, 0.625, 0.250)
B (0.875, 0.868, 0.750)
B (0.618, 0.125, 0.250)

Summary:
- calculated formation energy (eV per formula unit) = 1.3
- total magnetic moment (μB/f.u.) = 0.0
- E above lowest polymorph (meV per atom) = 78
- volume (Å³/f.u.) = 44.80

5.
DFT (GGA-PBE) results for an optimized crystal structure of ReBRu.

Unit cell a=2.997 b=2.762 c=5.499 alpha=81.50 beta=74.19 gamma=57.14
Sites, in units of the cell vectors:
Ru (0.638, 0.000, 0.723)
B (0.003, 0.000, 0.994)
Re (0.359, 0.000, 0.283)

Summary:
- calculated formation energy (eV per formula unit) = 0.9
- total magnetic moment (μB/f.u.) = 0.0
- volume (Å³/f.u.) = 36.78

6.
DFT (GGA-PBE) results for an optimized crystal structure of ReBRu3.

Unit cell a=4.668 b=4.668 c=4.668 alpha=90.00 beta=90.00 gamma=90.00
Site moments in Bohr magnetons follow the coordinates.
Sites, in units of the cell vectors:
Re (0.000, 0.000, 0.000)  -0.13
B (0.500, 0.500, 0.500)  -0.05
Ru (0.500, 0.000, 0.000)  0.39
Ru (0.000, 0.500, 0.000)  0.54
Ru (0.000, 0.000, 0.500)  0.56

Summary:
- calculated formation energy (eV per formula unit) = 12.5
- total magnetic moment (μB/f.u.) = 1.3
- E above lowest polymorph (meV per atom) = 2260
- volume (Å³/f.u.) = 101.69

7.
DFT (GGA-PBE) results for an optimized crystal structure of ReB3Ru.

Unit cell a=3.927 b=3.927 c=3.927 alpha=90.00 beta=90.00 gamma=90.00
Site moments in Bohr magnetons follow the coordinates.
Sites, in units of the cell vectors:
B (0.000, 0.000, 0.500)  -0.02
B (0.500, 0.000, 0.000)  -0.02
B (0.000, 0.500, 0.000)  0.01
Ru (0.000, 0.000, 0.000)  0.32
Re (0.500, 0.500, 0.500)  1.31

Summary:
- calculated formation energy (eV per formula unit) = 8.2
- total magnetic moment (μB/f.u.) = 1.7
- E above lowest polymorph (meV per atom) = 247
- volume (Å³/f.u.) = 60.56

8.
DFT (GGA-PBE) results for an optimized crystal structure of Re2B2Ru.

Unit cell a=6.157 b=6.157 c=2.920 alpha=90.00 beta=90.00 gamma=90.00
Sites, in units of the cell vectors:
Re (0.349, 0.151, 0.500)
Re (0.651, 0.849, 0.500)
Re (0.849, 0.349, 0.500)
Re (0.151, 0.651, 0.500)
B (0.855, 0.645, 0.000)
B (0.355, 0.855, 0.000)
B (0.645, 0.145, 0.000)
B (0.145, 0.355, 0.000)
Ru (0.500, 0.500, 0.000)
Ru (0.000, 0.000, 0.000)

Summary:
- calculated formation energy (eV per formula unit) = -0.1
- total magnetic moment (μB/f.u.) = 0.0
- volume (Å³/f.u.) = 55.35

9.
DFT (GGA-PBE) results for an optimized crystal structure of ReBRu2.

Unit cell a=2.805 b=2.805 c=7.494 alpha=79.22 beta=79.22 gamma=60.00
Sites, in units of the cell vectors:
Ru (0.732, 0.732, 0.805)
Ru (0.268, 0.268, 0.195)
Re (0.500, 0.500, 0.500)
B (0.000, 0.000, 0.000)

Summary:
- calculated formation energy (eV per formula unit) = 0.2
- total magnetic moment (μB/f.u.) = 0.0
- volume (Å³/f.u.) = 49.84

10.
DFT (GGA-PBE) results for an optimized crystal structure of Re2BRu.

Unit cell a=2.858 b=5.662 c=6.452 alpha=104.03 beta=90.00 gamma=90.00
Sites, in units of the cell vectors:
Re (0.250, 0.714, 0.525)
Re (0.750, 0.286, 0.475)
Re (0.250, 0.398, 0.139)
Re (0.750, 0.602, 0.861)
B (0.250, 0.293, 0.741)
B (0.750, 0.707, 0.259)
Ru (0.250, 0.948, 0.167)
Ru (0.750, 0.052, 0.833)

Summary:
- calculated formation energy (eV per formula unit) = -0.5
- total magnetic moment (μB/f.u.) = 0.0
- volume (Å³/f.u.) = 50.65

11.
DFT (GGA-PBE) results for an optimized crystal structure of Re2BRu.

Unit cell a=3.825 b=3.825 c=8.483 alpha=76.97 beta=76.97 gamma=90.00
Sites, in units of the cell vectors:
B (0.250, 0.750, 0.500)
B (0.500, 0.500, 0.000)
Re (0.567, 0.125, 0.250)
Re (0.375, 0.433, 0.750)
Re (0.875, 0.817, 0.750)
Re (0.183, 0.625, 0.250)
Ru (0.000, 0.000, 0.000)
Ru (0.750, 0.250, 0.500)

Summary:
- calculated formation energy (eV per formula unit) = 3.3
- total magnetic moment (μB/f.u.) = 0.0
- volume (Å³/f.u.) = 58.82

12.
DFT (GGA-PBE) results for an optimized crystal structure of ReBRu3.

Unit cell a=4.037 b=4.037 c=4.037 alpha=90.00 beta=90.00 gamma=90.00
Sites, in units of the cell vectors:
Ru (0.000, 0.000, 0.500)
Ru (0.500, 0.000, 0.000)
Ru (0.000, 0.500, 0.000)
Re (0.500, 0.500, 0.500)
B (0.000, 0.000, 0.000)

Summary:
- calculated formation energy (eV per formula unit) = 1.2
- total magnetic moment (μB/f.u.) = 0.0
- E above lowest polymorph (meV per atom) = 0
- volume (Å³/f.u.) = 65.82

13.
DFT (GGA-PBE) results for an optimized crystal structure of ReBRu2.

Unit cell a=2.726 b=2.726 c=6.535 alpha=90.00 beta=90.00 gamma=90.00
Sites, in units of the cell vectors:
Re (0.500, 0.500, 0.500)
B (0.500, 0.500, 0.000)
Ru (0.000, 0.000, 0.201)
Ru (0.000, 0.000, 0.799)

Summary:
- calculated formation energy (eV per formula unit) = -0.1
- total magnetic moment (μB/f.u.) = 0.0
- volume (Å³/f.u.) = 48.56

14.
DFT (GGA-PBE) results for an optimized crystal structure of ReB3Ru.

Unit cell a=4.042 b=4.042 c=4.042 alpha=90.00 beta=90.00 gamma=90.00
Site moments in Bohr magnetons follow the coordinates.
Sites, in units of the cell vectors:
Re (0.000, 0.000, 0.000)  0.24
B (0.500, 0.000, 0.000)  0.01
B (0.000, 0.000, 0.500)  -0.05
B (0.000, 0.500, 0.000)  0.02
Ru (0.500, 0.500, 0.500)  1.92

Summary:
- calculated formation energy (eV per formula unit) = 6.9
- total magnetic moment (μB/f.u.) = 2.2
- E above lowest polymorph (meV per atom) = 0
- volume (Å³/f.u.) = 66.05

15.
DFT (GGA-PBE) results for an optimized crystal structure of Re2BRu.

Unit cell a=2.867 b=2.867 c=7.322 alpha=78.71 beta=78.71 gamma=60.00
Sites, in units of the cell vectors:
Re (0.267, 0.267, 0.199)
Re (0.065, 0.065, 0.804)
B (0.666, 0.666, 0.002)
Ru (0.502, 0.502, 0.495)

Summary:
- calculated formation energy (eV per formula unit) = 0.1
- total magnetic moment (μB/f.u.) = 0.0
- volume (Å³/f.u.) = 50.78

16.
DFT (GGA-PBE) results for an optimized crystal structure of ReB2Ru.

Unit cell a=3.862 b=3.862 c=3.862 alpha=60.00 beta=60.00 gamma=60.00
Sites, in units of the cell vectors:
Ru (0.000, 0.000, 0.000)
B (0.250, 0.250, 0.250)
B (0.750, 0.750, 0.750)
Re (0.500, 0.500, 0.500)

Summary:
- calculated formation energy (eV per formula unit) = 1.0
- total magnetic moment (μB/f.u.) = 0.0
- E above lowest polymorph (meV per atom) = 0
- volume (Å³/f.u.) = 40.74

17.
DFT (GGA-PBE) results for an optimized crystal structure of ReBRu.

Unit cell a=4.495 b=4.495 c=4.547 alpha=107.00 beta=107.00 gamma=115.54
Sites, in units of the cell vectors:
Ru (0.170, 0.170, 0.348)
Ru (0.830, 0.830, 0.652)
Re (0.671, 0.329, 0.000)
Re (0.329, 0.671, 0.000)
B (0.748, 0.252, 0.500)
B (0.252, 0.748, 0.500)

Summary:
- calculated formation energy (eV per formula unit) = -0.3
- total magnetic moment (μB/f.u.) = 0.0
- volume (Å³/f.u.) = 34.67

18.
DFT (GGA-PBE) results for an optimized crystal structure of ReBRu2.

Unit cell a=5.064 b=5.064 c=6.263 alpha=66.15 beta=66.15 gamma=90.00
Sites, in units of the cell vectors:
Ru (0.875, 0.812, 0.750)
Ru (0.188, 0.625, 0.250)
Ru (0.375, 0.438, 0.750)
Ru (0.562, 0.125, 0.250)
Re (0.000, 0.000, 0.000)
Re (0.750, 0.250, 0.500)
B (0.250, 0.750, 0.500)
B (0.500, 0.500, 0.000)

Summary:
- calculated formation energy (eV per formula unit) = 2.9
- total magnetic moment (μB/f.u.) = 0.0
- volume (Å³/f.u.) = 65.89

19.
DFT (GGA-PBE) results for an optimized crystal structure of ReB2Ru2.

Unit cell a=6.284 b=6.284 c=2.762 alpha=90.00 beta=90.00 gamma=90.00
Sites, in units of the cell vectors:
B (0.148, 0.352, 0.000)
B (0.852, 0.648, 0.000)
B (0.352, 0.852, 0.000)
B (0.648, 0.148, 0.000)
Ru (0.152, 0.652, 0.500)
Ru (0.652, 0.848, 0.500)
Ru (0.348, 0.152, 0.500)
Ru (0.848, 0.348, 0.500)
Re (0.500, 0.500, 0.000)
Re (0.000, 0.000, 0.000)

Summary:
- calculated formation energy (eV per formula unit) = -0.1
- total magnetic moment (μB/f.u.) = 0.0
- volume (Å³/f.u.) = 54.55

20.
DFT (GGA-PBE) results for an optimized crystal structure of ReBSb2Ru.

Unit cell a=5.167 b=4.049 c=5.167 alpha=90.00 beta=90.00 gamma=90.00
Site moments in Bohr magnetons follow the coordinates.
Sites, in units of the cell vectors:
Sb (0.000, 0.000, 0.500)  -0.02
Sb (0.500, 0.000, 0.000)  -0.02
Re (0.000, 0.000, 0.000)  0.12
B (0.000, 0.500, 0.000)  -0.01
Ru (0.500, 0.500, 0.500)  1.73

Summary:
- raw formation energy (meV/atom) = 1246
- total magnetic moment (μB/f.u.) = 2.0
- volume (Å³/f.u.) = 108.12

21.
DFT (GGA-PBE) results for an optimized crystal structure of Sc2ReB2Ru5.

Unit cell a=3.005 b=9.491 c=9.491 alpha=90.00 beta=90.00 gamma=90.00
Sites, in units of the cell vectors:
B (0.000, 0.380, 0.120)
B (0.000, 0.120, 0.620)
B (0.000, 0.620, 0.880)
B (0.000, 0.880, 0.380)
Ru (0.500, 0.216, 0.071)
Ru (0.500, 0.429, 0.284)
Ru (0.500, 0.571, 0.716)
Ru (0.500, 0.784, 0.929)
Ru (0.500, 0.500, 0.000)
Ru (0.500, 0.716, 0.429)
Ru (0.500, 0.000, 0.500)
Ru (0.500, 0.929, 0.216)
Ru (0.500, 0.071, 0.784)
Ru (0.500, 0.284, 0.571)
Re (0.000, 0.500, 0.500)
Re (0.000, 0.000, 0.000)
Sc (0.000, 0.325, 0.825)
Sc (0.000, 0.825, 0.675)
Sc (0.000, 0.175, 0.325)
Sc (0.000, 0.675, 0.175)

Summary:
- calculated formation energy (eV per formula unit) = -5.0
- total magnetic moment (μB/f.u.) = 0.0
- volume (Å³/f.u.) = 135.34

22.
DFT (GGA-PBE) results for an optimized crystal structure of ZnReBRu2.

Unit cell a=4.631 b=4.859 c=4.631 alpha=90.00 beta=90.00 gamma=90.00
Site moments in Bohr magnetons follow the coordinates.
Sites, in units of the cell vectors:
Re (0.000, 0.000, 0.000)  0.00
Ru (0.500, 0.000, 0.000)  0.06
Ru (0.000, 0.000, 0.500)  0.11
Zn (0.000, 0.500, 0.000)  0.00
B (0.500, 0.500, 0.500)  -0.01

Summary:
- calculated formation energy (eV per formula unit) = 11.1
- total magnetic moment (μB/f.u.) = 0.2
- volume (Å³/f.u.) = 104.23

23.
DFT (GGA-PBE) results for an optimized crystal structure of Re2BS.

Unit cell a=4.049 b=4.049 c=4.049 alpha=60.00 beta=60.00 gamma=60.00
Sites, in units of the cell vectors:
Re (0.750, 0.750, 0.750)
Re (0.250, 0.250, 0.250)
B (0.000, 0.000, 0.000)
S (0.500, 0.500, 0.500)

Summary:
- raw formation energy (meV/atom) = 426
- total magnetic moment (μB/f.u.) = 0.0
- E above lowest polymorph (meV per atom) = 0
- volume (Å³/f.u.) = 46.95

24.
DFT (GGA-PBE) results for an optimized crystal structure of ReBS3.

Unit cell a=4.633 b=4.633 c=4.633 alpha=90.00 beta=90.00 gamma=90.00
Sites, in units of the cell vectors:
S (0.000, 0.000, 0.500)
S (0.500, 0.000, 0.000)
S (0.000, 0.500, 0.000)
B (0.500, 0.500, 0.500)
Re (0.000, 0.000, 0.000)

Summary:
- raw formation energy (meV/atom) = 1163
- total magnetic moment (μB/f.u.) = 0.0
- E above lowest polymorph (meV per atom) = 93
- volume (Å³/f.u.) = 99.45

25.
DFT (GGA-PBE) results for an optimized crystal structure of Re2BS.

Unit cell a=5.162 b=5.162 c=5.936 alpha=64.23 beta=64.23 gamma=90.00
Sites, in units of the cell vectors:
Re (0.595, 0.125, 0.250)
Re (0.155, 0.625, 0.250)
Re (0.875, 0.845, 0.750)
Re (0.375, 0.405, 0.750)
S (0.000, 0.000, 0.000)
S (0.750, 0.250, 0.500)
B (0.500, 0.500, 0.000)
B (0.250, 0.750, 0.500)

Summary:
- raw formation energy (meV/atom) = 618
- total magnetic moment (μB/f.u.) = 0.0
- E above lowest polymorph (meV per atom) = 192
- volume (Å³/f.u.) = 62.36

26.
DFT (GGA-PBE) results for an optimized crystal structure of Re3BS.

Unit cell a=4.305 b=4.305 c=4.305 alpha=90.00 beta=90.00 gamma=90.00
Sites, in units of the cell vectors:
Re (0.000, 0.500, 0.000)
Re (0.000, 0.000, 0.500)
Re (0.500, 0.000, 0.000)
S (0.000, 0.000, 0.000)
B (0.500, 0.500, 0.500)

Summary:
- raw formation energy (meV/atom) = 1912
- total magnetic moment (μB/f.u.) = 0.0
- volume (Å³/f.u.) = 79.78

27.
DFT (GGA-PBE) results for an optimized crystal structure of ReBS.

Unit cell a=3.080 b=4.226 c=7.119 alpha=90.00 beta=90.00 gamma=90.00
Sites, in units of the cell vectors:
B (0.000, 0.000, 0.867)
B (0.500, 0.500, 0.133)
Re (0.500, 0.000, 0.100)
Re (0.000, 0.500, 0.900)
S (0.500, 0.500, 0.650)
S (0.000, 0.000, 0.350)

Summary:
- raw formation energy (meV/atom) = 267
- total magnetic moment (μB/f.u.) = 0.0
- volume (Å³/f.u.) = 46.33